Li2MgAs: relaxed, PBE-GGA.

Fermi-level density of states   0.448 states/eV per atom
Formation energy from the elements   -0.414 eV per atom
Energy relative to the lowest polymorph listed for this composition   121 meV/atom
Space-group type   No. 119
E   -2.932 eV/atom

Geometry as CIF:
```
data_Li2MgAs
_chemical_formula_sum 'Li2 Mg1 As1'
_symmetry_space_group_name_H-M 'P 1'
_symmetry_Int_Tables_number 1
_cell_length_a 4.934
_cell_length_b 4.934
_cell_length_c 4.934
_cell_angle_alpha 130.19
_cell_angle_beta 130.18
_cell_angle_gamma 73.11
loop_
_symmetry_equiv_pos_as_xyz
'x,y,z'
loop_
_atom_site_label
_atom_site_type_symbol
_atom_site_fract_x
_atom_site_fract_y
_atom_site_fract_z
As1 As 0.250 0.750 0.500
Li1 Li 0.000 0.000 0.000
Li2 Li 0.750 0.250 0.500
Mg1 Mg 0.500 0.500 0.000
```